No. 1
Ti2TcRu (PBEsol, optimized geometry); space-group type = Fm-3m, No. 225; ΔE_f = -0.618 eV per atom; volume = 14.21 Å³/atom
1.0
0.0000 3.0517 3.0517
3.0517 0.0000 3.0517
3.0517 3.0517 0.0000
Ti Tc Ru
2 1 1
Direct
0.2500 0.2500 0.2500
0.7500 0.7500 0.7500
0.0000 0.0000 0.0000
0.5000 0.5000 0.5000

***

No. 2
Be2PdPt2 (PBEsol, optimized geometry); space-group type = P4/mbm, No. 127; ΔE_f = -0.585 eV per atom; volume = 12.01 Å³/atom
1.0
6.6048 0.0000 0.0000
0.0000 6.6048 0.0000
0.0000 0.0000 2.7536
Be Pd Pt
4 2 4
Direct
0.1400 0.3600 0.0000
0.3600 0.8600 0.0000
0.6400 0.1400 0.0000
0.8600 0.6400 0.0000
0.0000 0.0000 0.0000
0.5000 0.5000 0.0000
0.1554 0.6554 0.5000
0.3446 0.1554 0.5000
0.6554 0.8446 0.5000
0.8446 0.3446 0.5000

***

No. 3
TlInTe2 (PBEsol, optimized geometry); space-group type = Imm2, No. 44; formation energy (no corrections) = -0.058 eV/atom; volume = 28.40 Å³/atom
1.0
-1.8808 2.8218 5.3505
1.8808 -2.8218 5.3505
1.8808 2.8218 -5.3505
Tl In Te
1 1 2
Direct
0.0000 0.0000 0.0000
0.2590 0.7590 0.5000
0.4904 0.4904 0.0000
0.7307 0.2307 0.5000

***

No. 4
RbAgP2 (PBEsol, optimized geometry); space-group type = I4_1/amd, No. 141; ΔE_f = 0.077 eV per atom; volume = 25.63 Å³/atom
1.0
-2.4233 2.4233 8.7282
2.4233 -2.4233 8.7282
2.4233 2.4233 -8.7282
Rb Ag P
2 2 4
Direct
0.3750 0.6250 0.7500
0.6250 0.3750 0.2500
0.1250 0.8750 0.2500
0.8750 0.1250 0.7500
0.0000 0.0000 0.0000
0.0000 0.0000 0.5000
0.0000 0.5000 0.0000
0.5000 0.0000 0.5000

***

Look up the volume of the second one. 12.01 Å³/atom